Density functional theory data (PBE-GGA) for a geometry-optimized K2NaSrI5 structure.

Total magnetization   0.00 Bohr magnetons per cell
E_form (uncorrected)   -13.41 eV per formula unit
Crystal system   orthorhombic
DOS at the Fermi energy   0.0 states/eV/cell

Cell lengths 4.8810, 10.5764, 16.2178 Å; angles 90.00, 90.00, 103.34 degrees
Sites, in units of the cell vectors:
1 K 0.8715 0.7431 0.8052
2 K 0.0854 0.1708 0.6568
3 K 0.1285 0.2569 0.3052
4 K 0.9146 0.8292 0.1568
5 Na 0.5468 0.0935 0.9461
6 Na 0.4532 0.9065 0.4461
7 Sr 0.7734 0.5468 0.5294
8 Sr 0.2266 0.4532 0.0294
9 I 0.3827 0.7655 0.9943
10 I 0.7049 0.4097 0.8945
11 I 0.4976 0.9952 0.7694
12 I 0.2618 0.5237 0.6704
13 I 0.9303 0.8605 0.5579
14 I 0.6173 0.2345 0.4943
15 I 0.2951 0.5903 0.3945
16 I 0.5024 0.0048 0.2694
17 I 0.7382 0.4763 0.1704
18 I 0.0697 0.1395 0.0579